! PBE Mg3GaGe, relaxed; values from VASP
! DOS(E_F): 2.42 states/eV/f.u.
! Total energy: -2.311 eV per atom
! Excess energy over the best structure of this formula in the dataset: 24.9 kJ/mol of atoms
! Volume: 25.8 Å³ per atom
! Formation energy from the elements: 0.17 eV/atom
&SYSTEM
  ibrav = 0, nat = 5, ntyp = 3
/
ATOMIC_SPECIES
Mg 24.30 Mg.upf
Ga 69.72 Ga.upf
Ge 72.64 Ge.upf
CELL_PARAMETERS angstrom
5.0519 0.0000 0.0000
0.0000 5.0519 0.0000
0.0000 0.0000 5.0519
ATOMIC_POSITIONS angstrom
Mg 0.0000 0.0000 2.5260
Ga 2.5260 2.5260 2.5260
Mg 2.5260 0.0000 0.0000
Ge 0.0000 0.0000 0.0000
Mg 0.0000 2.5260 0.0000